Record 1
! Tm4Al3Zn (PBE-GGA, relaxed); values from VASP
! V   23.1 A^3/atom
! Calculated formation energy   -0.36 eV/atom
! Relative energy among the computed polymorphs   22.4 meV per atom
! DFT total energy   -4.161 eV/atom
&SYSTEM
  ibrav = 0, nat = 8, ntyp = 3
/
ATOMIC_SPECIES
Al 26.98 Al.upf
Zn 65.41 Zn.upf
Tm 168.93 Tm.upf
CELL_PARAMETERS angstrom
-0.130 -3.022 -1.982
3.566 1.351 -2.295
6.864 -5.259 7.568
ATOMIC_POSITIONS angstrom
Al 2.963 -2.271 3.267
Zn 2.191 -1.198 -1.617
Tm 7.586 -3.771 5.250
Al 6.342 -6.421 6.073
Tm 4.052 -2.624 0.435
Al 5.679 -2.310 3.149
Tm 4.453 -4.973 3.990
Tm 1.060 -0.812 1.169

Record 2
! Tm3Al9Zn2 (PBE-GGA, relaxed); values from VASP
! V   18.8 A^3/atom
! Calculated formation energy   -0.33 eV/atom
! DFT total energy   -3.872 eV/atom
&SYSTEM
  ibrav = 0, nat = 14, ntyp = 3
/
ATOMIC_SPECIES
Al 26.98 Al.upf
Tm 168.93 Tm.upf
Zn 65.41 Zn.upf
CELL_PARAMETERS angstrom
-3.009 0.088 3.028
-3.503 -7.405 -0.256
3.280 -3.956 6.384
ATOMIC_POSITIONS angstrom
Al -2.001 -4.840 1.163
Al -1.296 -9.113 8.008
Tm -2.144 -3.467 3.991
Al -1.232 -6.433 7.994
Al -0.213 -1.284 2.836
Al 0.998 -3.316 4.098
Zn -2.952 -6.316 3.271
Al -1.936 -2.160 1.149
Al -3.019 -9.989 6.321
Al -0.112 -5.680 3.064
Tm -1.088 -7.806 5.166
Tm 0.000 0.000 0.000
Al -4.230 -7.957 5.059
Zn -0.280 -4.957 5.886

Record 3
! TmAl4Zn (PBE-GGA, relaxed); values from VASP
! V   18.2 A^3/atom
! Calculated formation energy   -0.20 eV/atom
! DFT total energy   -3.657 eV/atom
&SYSTEM
  ibrav = 0, nat = 6, ntyp = 3
/
ATOMIC_SPECIES
Al 26.98 Al.upf
Tm 168.93 Tm.upf
Zn 65.41 Zn.upf
CELL_PARAMETERS angstrom
3.964 0.000 -1.344
0.000 4.126 0.000
0.055 0.000 6.677
ATOMIC_POSITIONS angstrom
Al 0.711 2.063 2.097
Al 2.695 4.126 1.432
Tm 0.000 0.000 0.000
Al 1.323 0.000 3.901
Al 3.307 2.063 3.236
Zn 1.982 2.063 -0.672

Record 4
! Tm8AlZn2 (PBE-GGA, relaxed); values from VASP
! V   26.7 A^3/atom
! Calculated formation energy   -0.07 eV/atom
! Relative energy among the computed polymorphs   38.1 meV per atom
! DFT total energy   -3.889 eV/atom
&SYSTEM
  ibrav = 0, nat = 11, ntyp = 3
/
ATOMIC_SPECIES
Tm 168.93 Tm.upf
Zn 65.41 Zn.upf
Al 26.98 Al.upf
CELL_PARAMETERS angstrom
5.238 -0.193 -0.290
-1.148 8.029 -0.363
-1.148 -3.427 7.270
ATOMIC_POSITIONS angstrom
Tm 1.471 5.331 1.226
Tm 0.055 2.305 0.473
Tm 2.887 4.860 4.308
Zn -1.148 4.504 1.986
Zn -1.148 0.098 4.921
Al 2.619 -0.097 -0.145
Tm 2.744 1.654 2.482
Tm 2.887 2.103 6.144
Tm 0.055 -0.452 2.310
Tm 1.471 -0.922 5.392
Tm 0.199 2.755 4.136

Q: Among the records above, which one has the lowest DFT total energy?
A: Tm4Al3Zn